*A*
Material: ScTlSb
Method: DFT, PBE
State: optimized geometry

abc: 4.7019 4.7019 4.5472
angles: 90.00 90.00 120.00
Fractional coordinates of all 3 atoms:
Sb 0.0000 0.0000 0.0696
Sc 0.6667 0.3333 0.2728
Tl 0.3333 0.6667 0.6577

Its total magnetization is 0.000 μB per formula unit.

---

*B*
Material: ScTlSb
Method: DFT, PBE
State: optimized geometry

abc: 5.1184 5.1184 5.1184
angles: 60.00 60.00 60.00
Fractional coordinates of all 3 atoms:
Sb 0.7500 0.7500 0.7500
Sc 0.0000 0.0000 0.0000
Tl 0.5000 0.5000 0.5000

Its total magnetization is 0.001 μB per formula unit.

---

*C*
Material: ScTlSb
Method: DFT, PBE
State: optimized geometry

abc: 5.8784 5.8787 3.9105
angles: 70.57 70.58 38.85
Fractional coordinates of all 3 atoms:
Sb 0.9695 0.9695 0.0305
Sc 0.3619 0.3619 0.6381
Tl 0.6686 0.6686 0.3314

Its total magnetization is 0.000 μB per formula unit.

---

Verdict on stability: *C* comes out on top.

---

*A*
Material: ScTlSb
Method: DFT, PBE
State: optimized geometry

abc: 4.9658 4.9658 4.9658
angles: 60.00 60.00 60.00
Fractional coordinates of all 3 atoms:
Sb 0.5000 0.5000 0.5000
Sc 0.7500 0.7500 0.7500
Tl 0.0000 0.0000 0.0000

Its total magnetization is 0.000 μB per formula unit.

---

*B*
Material: ScTlSb
Method: DFT, PBE
State: optimized geometry

abc: 4.8843 4.8843 6.9861
angles: 90.00 90.00 90.00
Fractional coordinates of all 6 atoms:
Tl 0.0000 0.5000 0.8150
Tl 0.5000 0.0000 0.1850
Sb 0.0000 0.5000 0.2536
Sb 0.5000 0.0000 0.7464
Sc 0.5000 0.5000 0.5000
Sc 0.0000 0.0000 0.5000

Its total magnetization is 0.001 μB per formula unit.

---

Verdict on stability: *B* comes out on top.

---

*A*
Material: TmSc2Sb
Method: DFT, PBE
State: optimized geometry

abc: 4.5772 4.5785 4.5785
angles: 90.00 90.00 90.00
Each line ends with the local moment (μB).
Fractional coordinates of all 4 atoms:
Sc 0.0000 0.0000 0.5000  0.38
Sc 0.0000 0.5000 0.0000  0.38
Sb 0.5000 0.0000 0.0000  -0.01
Tm 0.5000 0.5000 0.5000  0.36

Its total magnetization is 1.553 μB per formula unit.

---

*B*
Material: TmSc2Sb
Method: DFT, PBE
State: optimized geometry

abc: 3.8659 3.8659 6.6428
angles: 90.00 90.00 90.00
Each line ends with the local moment (μB).
Fractional coordinates of all 4 atoms:
Sc 0.0000 0.0000 0.7725  0.28
Sc 0.0000 0.0000 0.2275  0.28
Sb 0.5000 0.5000 0.0000  -0.02
Tm 0.5000 0.5000 0.5000  0.35

Its total magnetization is 1.325 μB per formula unit.

---

Verdict on stability: *A* comes out on top.

---

*A*
Material: TmScSb2
Method: DFT, PBE
State: optimized geometry

abc: 4.2289 4.2289 7.5929
angles: 73.83 73.83 60.00
Fractional coordinates of all 4 atoms:
Tm 0.6685 0.6685 0.9946
Sc 0.4983 0.4983 0.5050
Sb 0.0850 0.0850 0.7448
Sb 0.2481 0.2481 0.2556

Its total magnetization is 0.000 μB per formula unit.

---

*B*
Material: TmScSb2
Method: DFT, PBE
State: optimized geometry

abc: 4.2519 4.2519 7.3647
angles: 89.96 106.80 120.03
Fractional coordinates of all 4 atoms:
Tm 0.0000 0.5000 0.5000
Sc 0.0000 0.0000 0.0000
Sb 0.5077 0.2538 0.7615
Sb 0.4923 0.7462 0.2385

Its total magnetization is 0.000 μB per formula unit.

---

Verdict on stability: *B* comes out on top.

---

*A*
Material: Tm2ScSb
Method: DFT, PBE
State: optimized geometry

abc: 3.9241 3.9241 9.2761
angles: 77.79 77.79 60.00
Each line ends with the local moment (μB).
Fractional coordinates of all 4 atoms:
Tm 0.0714 0.0714 0.7857  0.15
Tm 0.2619 0.2619 0.2144  0.01
Sc 0.5006 0.5006 0.4983  0.15
Sb 0.6661 0.6661 0.0016  0.00

Its total magnetization is 0.522 μB per formula unit.

---

*B*
Material: Tm2ScSb
Method: DFT, PBE
State: optimized geometry

abc: 4.0207 4.0207 6.4590
angles: 90.00 90.00 90.00
Fractional coordinates of all 4 atoms:
Sc 0.5000 0.5000 0.5000
Sb 0.5000 0.5000 0.0000
Tm 0.0000 0.0000 0.7559
Tm 0.0000 0.0000 0.2441

Its total magnetization is 0.000 μB per formula unit.

---

*C*
Material: Tm2ScSb
Method: DFT, PBE
State: optimized geometry

abc: 3.5167 3.5167 10.4437
angles: 80.31 80.31 60.00
Fractional coordinates of all 4 atoms:
Sc 0.5000 0.5000 0.5000
Sb 0.0000 0.0000 0.0000
Tm 0.2530 0.2530 0.2411
Tm 0.7470 0.7470 0.7589

Its total magnetization is 0.000 μB per formula unit.

---

*D*
Material: Tm2ScSb
Method: DFT, PBE
State: optimized geometry

abc: 4.6653 4.6351 4.6351
angles: 90.00 90.00 90.00
Fractional coordinates of all 4 atoms:
Sc 0.5000 0.5000 0.5000
Sb 0.5000 0.0000 0.0000
Tm 0.0000 0.0000 0.5000
Tm 0.0000 0.5000 0.0000

Its total magnetization is 0.000 μB per formula unit.

---

Verdict on stability: *B* comes out on top.

---

*A*
Material: ScUSb2
Method: DFT, PBE
State: optimized geometry

abc: 4.2294 4.2294 7.5074
angles: 73.64 73.64 60.00
Each line ends with the local moment (μB).
Fractional coordinates of all 4 atoms:
Sc 0.0000 0.0000 0.0000  0.00
Sb 0.2556 0.2556 0.2333  -0.04
Sb 0.7444 0.7444 0.7667  -0.04
U 0.5000 0.5000 0.5000  2.46

Its total magnetization is 2.652 μB per formula unit.

---

*B*
Material: ScUSb2
Method: DFT, PBE
State: optimized geometry

abc: 4.1184 4.1184 7.8874
angles: 74.87 74.87 60.00
Each line ends with the local moment (μB).
Fractional coordinates of all 4 atoms:
Sc 0.6684 0.6684 0.9947  0.01
U 0.4987 0.4987 0.5039  2.56
Sb 0.0766 0.0766 0.7702  -0.05
Sb 0.2563 0.2563 0.2312  -0.06

Its total magnetization is 2.898 μB per formula unit.

---

*C*
Material: ScUSb2
Method: DFT, PBE
State: optimized geometry

abc: 3.7643 5.1182 5.1182
angles: 90.00 90.00 90.00
Each line ends with the local moment (μB).
Fractional coordinates of all 4 atoms:
Sc 0.5000 0.5000 0.5000  0.38
Sb 0.0000 0.0000 0.5000  -0.08
Sb 0.0000 0.5000 0.0000  -0.08
U 0.5000 0.0000 0.0000  2.22

Its total magnetization is 2.919 μB per formula unit.

---

Verdict on stability: *A* comes out on top.